# AcSmIn | OQMD | GGA-PBE | optimized geometry
# DFT total energy in eV per atom: -3.94
# ρ in g/cm³: 7.08
data_AcSmIn
_chemical_formula_sum 'Ac4 Sm4 In4'
_cell_length_a 7.7294
_cell_length_b 7.7294
_cell_length_c 7.7294
_cell_angle_alpha 90.00
_cell_angle_beta 90.00
_cell_angle_gamma 90.00
_symmetry_space_group_name_H-M 'F -4 3 m'
_symmetry_Int_Tables_number 216
_symmetry_space_group_name_Hall 'F -4 2 3'
loop_
_atom_site_label
_atom_site_fract_x
_atom_site_fract_y
_atom_site_fract_z
_atom_site_occupancy
Ac1 0.0000 0.0000 0.0000 1
Sm1 0.0000 0.0000 0.5000 1
In1 0.2500 0.2500 0.2500 1

***

# AcThIn | OQMD | GGA-PBE | optimized geometry
# DFT total energy in eV per atom: -4.64
# ρ in g/cm³: 8.41
data_AcThIn
_chemical_formula_sum 'Ac4 Th4 In4'
_cell_length_a 7.6808
_cell_length_b 7.6808
_cell_length_c 7.6808
_cell_angle_alpha 90.00
_cell_angle_beta 90.00
_cell_angle_gamma 90.00
_symmetry_space_group_name_H-M 'F -4 3 m'
_symmetry_Int_Tables_number 216
_symmetry_space_group_name_Hall 'F -4 2 3'
loop_
_atom_site_label
_atom_site_fract_x
_atom_site_fract_y
_atom_site_fract_z
_atom_site_occupancy
Ac1 0.0000 0.0000 0.0000 1
Th1 0.0000 0.0000 0.5000 1
In1 0.2500 0.2500 0.2500 1

***

# AcTmIn | OQMD | GGA-PBE | optimized geometry
# DFT total energy in eV per atom: -3.82
# ρ in g/cm³: 7.60
data_AcTmIn
_chemical_formula_sum 'Ac4 Tm4 In4'
_cell_length_a 7.6440
_cell_length_b 7.6440
_cell_length_c 7.6440
_cell_angle_alpha 90.00
_cell_angle_beta 90.00
_cell_angle_gamma 90.00
_symmetry_space_group_name_H-M 'F -4 3 m'
_symmetry_Int_Tables_number 216
_symmetry_space_group_name_Hall 'F -4 2 3'
loop_
_atom_site_label
_atom_site_fract_x
_atom_site_fract_y
_atom_site_fract_z
_atom_site_occupancy
Ac1 0.0000 0.0000 0.0000 1
Tm1 0.0000 0.0000 0.5000 1
In1 0.2500 0.2500 0.2500 1

***

# AcTmIn | OQMD | GGA-PBE | optimized geometry
# DFT total energy in eV per atom: -3.32
# ρ in g/cm³: 7.27
data_AcTmIn
_chemical_formula_sum 'Ac4 Tm4 In4'
_cell_length_a 7.7562
_cell_length_b 7.7562
_cell_length_c 7.7562
_cell_angle_alpha 90.00
_cell_angle_beta 90.00
_cell_angle_gamma 90.00
_symmetry_space_group_name_H-M 'F -4 3 m'
_symmetry_Int_Tables_number 216
_symmetry_space_group_name_Hall 'F -4 2 3'
loop_
_atom_site_label
_atom_site_fract_x
_atom_site_fract_y
_atom_site_fract_z
_atom_site_occupancy
Ac1 0.0000 0.0000 0.0000 1
Tm1 0.2500 0.2500 0.2500 1
In1 0.2500 0.2500 0.7500 1

***

# AcUIn | OQMD | GGA-PBE | optimized geometry
# DFT total energy in eV per atom: -5.40
# ρ in g/cm³: 8.95
data_AcUIn
_chemical_formula_sum 'Ac4 U4 In4'
_cell_length_a 7.5487
_cell_length_b 7.5487
_cell_length_c 7.5487
_cell_angle_alpha 90.00
_cell_angle_beta 90.00
_cell_angle_gamma 90.00
_symmetry_space_group_name_H-M 'F -4 3 m'
_symmetry_Int_Tables_number 216
_symmetry_space_group_name_Hall 'F -4 2 3'
loop_
_atom_site_label
_atom_site_fract_x
_atom_site_fract_y
_atom_site_fract_z
_atom_site_occupancy
Ac1 0.0000 0.0000 0.0000 1
U1 0.0000 0.0000 0.5000 1
In1 0.2500 0.2500 0.2500 1

***

# Ac3Zn2In3 | OQMD | GGA-PBE | optimized geometry
# DFT total energy in eV per atom: -3.30
# ρ in g/cm³: 8.09
data_Ac3Zn2In3
_chemical_formula_sum 'Ac12 Zn8 In12'
_cell_length_a 4.9528
_cell_length_b 11.6902
_cell_length_c 16.3891
_cell_angle_alpha 90.00
_cell_angle_beta 90.00
_cell_angle_gamma 90.00
_symmetry_space_group_name_H-M 'C m c m'
_symmetry_Int_Tables_number 63
_symmetry_space_group_name_Hall '-C 2c 2'
loop_
_atom_site_label
_atom_site_fract_x
_atom_site_fract_y
_atom_site_fract_z
_atom_site_occupancy
Ac1 0.0000 0.0953 0.1080 1
Ac2 0.0000 0.3731 0.2500 1
Zn1 0.0000 0.2035 0.5993 1
In1 0.0000 0.3309 0.7500 1
In2 0.0000 0.3805 0.0376 1

***

# AcZn2In2 | OQMD | GGA-PBE | optimized geometry
# DFT total energy in eV per atom: -2.82
# ρ in g/cm³: 8.08
data_AcZn2In2
_chemical_formula_sum 'Ac4 Zn8 In8'
_cell_length_a 6.4505
_cell_length_b 6.4590
_cell_length_c 11.5852
_cell_angle_alpha 90.00
_cell_angle_beta 90.00
_cell_angle_gamma 90.00
_symmetry_space_group_name_H-M 'F m m m'
_symmetry_Int_Tables_number 69
_symmetry_space_group_name_Hall '-F 2 2'
loop_
_atom_site_label
_atom_site_fract_x
_atom_site_fract_y
_atom_site_fract_z
_atom_site_occupancy
Ac1 0.0000 0.0000 0.0000 1
Zn1 0.0000 0.0000 0.3936 1
In1 0.2500 0.2500 0.2500 1

***

# Ac2ZnIn2 | OQMD | GGA-PBE | optimized geometry
# DFT total energy in eV per atom: -3.41
# ρ in g/cm³: 8.01
data_Ac2ZnIn2
_chemical_formula_sum 'Ac8 Zn4 In8'
_cell_length_a 11.8280
_cell_length_b 4.9962
_cell_length_c 11.9618
_cell_angle_alpha 90.00
_cell_angle_beta 118.58
_cell_angle_gamma 90.00
_symmetry_space_group_name_H-M 'C 1 2/m 1'
_symmetry_Int_Tables_number 12
_symmetry_space_group_name_Hall '-C 2y'
loop_
_atom_site_label
_atom_site_fract_x
_atom_site_fract_y
_atom_site_fract_z
_atom_site_occupancy
Ac1 0.0162 0.0000 0.3358 1
Ac2 0.1834 0.0000 0.1003 1
Zn1 0.2245 0.5000 0.3486 1
In1 0.0137 0.5000 0.8777 1
In2 0.1477 0.5000 0.5617 1

***

| no. | total magnetic moment (μB per cell) |
| --- | --- |
| 1 | 3.4 |
| 2 | 0.1 |
| 3 | 0.3 |
| 4 | 0.0 |
| 5 | 15.9 |
| 6 | 0.0 |
| 7 | 0.0 |
| 8 | 0.4 |